HgH2Cl: optimized geometry, PBE.

Output
- Space-group type: Cm
- Fermi-level density of states: 0.0 states/eV per cell
- V: 84 Å³ per cell
- Total moment: 1.00 μB/cell
- Mass density: 4.7 Mg/m³
- Polymorph energy (0 for the lowest one): 29.9 kJ/mol of formula units

Cell and atoms, written as POSCAR:
```
HgH2Cl
1.0
3.642 0.000 0.000
-1.821 5.873 0.730
0.000 0.626 3.987
Cl Hg H
1 1 2
direct
0.546 0.091 0.431
0.919 0.837 0.233
0.805 0.609 0.078
0.231 0.462 0.758
```